First-principles (GGA+U) data for crystalline Na2AcV2O7 at its relaxed geometry, as listed in the Alexandria database.

uncorrected energy = -248.72 eV for the cell shown

abc: 5.7830 5.7830 23.5946
angles: 90.00 90.00 120.00
Space group R32 (No. 155, hexagonal axes)
One atom of each set of equivalent atoms:
Na (0.0000, 0.0000, 0.2369) x6
Ac (0.0000, 0.0000, 0.0000) x3
V (0.0000, 0.0000, 0.4231) x6
O (0.0000, 0.0000, 0.5000) x3
O (0.0227, 0.3003, 0.6003) x18